A plane-wave DFT calculation with GGA-PBE was carried out for a geometry-optimized GaOsIN2 structure.

Results
relative energy among the computed polymorphs	1224	meV per atom
crystal system	tetragonal
formation energy without anion corrections	10.22	eV/f.u.

abc: 3.811 3.811 6.671
angles: 90.00 90.00 90.00
Space group P4/mmm (No. 123)
Asymmetric unit:
Ga (0.000, 0.000, 0.000) x1
Os (0.500, 0.500, 0.500) x1
I (0.000, 0.000, 0.500) x1
N (0.000, 0.500, 0.000) x2

A plane-wave DFT calculation with GGA-PBE was carried out for a geometry-optimized GaOsI2N structure.

Results
relative energy among the computed polymorphs	1201	meV per atom
crystal system	tetragonal
formation energy without anion corrections	7.65	eV/f.u.

abc: 5.787 5.787 3.496
angles: 90.00 90.00 90.00
Space group P4/mmm (No. 123)
Asymmetric unit:
Ga (0.000, 0.000, 0.000) x1
Os (0.500, 0.500, 0.500) x1
I (0.000, 0.500, 0.000) x2
N (0.000, 0.000, 0.500) x1

A plane-wave DFT calculation with GGA-PBE was carried out for a geometry-optimized GaOsI2N structure.

Results
relative energy among the computed polymorphs	0	meV per atom
crystal system	tetragonal
formation energy without anion corrections	1.65	eV/f.u.

abc: 5.674 5.674 3.767
angles: 90.00 90.00 90.00
Space group P4/mmm (No. 123)
Asymmetric unit:
Ga (0.000, 0.000, 0.000) x1
Os (0.500, 0.500, 0.500) x1
I (0.000, 0.500, 0.500) x2
N (0.500, 0.500, 0.000) x1

A plane-wave DFT calculation with GGA-PBE was carried out for a geometry-optimized GaOsIN2 structure.

Results
relative energy among the computed polymorphs	0	meV per atom
crystal system	tetragonal
formation energy without anion corrections	4.10	eV/f.u.

abc: 3.937 3.937 5.758
angles: 90.00 90.00 90.00
Space group P4/mmm (No. 123)
Asymmetric unit:
Ga (0.000, 0.000, 0.000) x1
Os (0.500, 0.500, 0.500) x1
I (0.500, 0.500, 0.000) x1
N (0.000, 0.500, 0.500) x2

A plane-wave DFT calculation with GGA-PBE was carried out for a geometry-optimized GaPbI2N structure.

Results
relative energy among the computed polymorphs	0	meV per atom
crystal system	tetragonal
formation energy without anion corrections	1.66	eV/f.u.

abc: 5.969 5.969 3.906
angles: 90.00 90.00 90.00
Space group P4/mmm (No. 123)
Asymmetric unit:
Ga (0.000, 0.000, 0.000) x1
Pb (0.500, 0.500, 0.500) x1
I (0.000, 0.500, 0.000) x2
N (0.000, 0.000, 0.500) x1

A plane-wave DFT calculation with GGA-PBE was carried out for a geometry-optimized GaPbI2N structure.

Results
relative energy among the computed polymorphs	234	meV per atom
crystal system	tetragonal
formation energy without anion corrections	2.83	eV/f.u.

abc: 6.395 6.395 4.311
angles: 90.00 90.00 90.00
Space group P4/mmm (No. 123)
Asymmetric unit:
Ga (0.000, 0.000, 0.000) x1
Pb (0.500, 0.500, 0.500) x1
I (0.000, 0.500, 0.500) x2
N (0.500, 0.500, 0.000) x1